Entry from the Alexandria database: a geometry-optimized SrZn2I structure (PBE).

Unit cell a=9.0087 b=9.0087 c=6.4082 alpha=90.00 beta=90.00 gamma=90.00
Closest atoms and distances in Å follow each position.
Space group I-42d (No. 122)
One atom of each set of equivalent atoms:
Sr1 0.0000 0.0000 0.0000 [4 per cell]  2 I 3.20, 4 Zn 3.30
Zn1 0.2471 0.7500 0.6250 [8 per cell]  2 Zn 3.20, 2 I 3.27, 2 Sr 3.30
I1 0.0000 0.0000 0.5000 [4 per cell]  2 Sr 3.20, 4 Zn 3.27

Its uncorrected formation energy is -0.255 eV/atom. The value obtained for the volume is 520 Å³/cell. The energy relative to the lowest polymorph listed for this composition comes out at 0 meV per atom.